(1)
First-principles (PBE-GGA) data for ZnMoSe4 after structural relaxation, as listed in Alexandria.

Summary:
The value obtained for the magnetic moment is 0.678 μB per atom. Its formation energy from raw total energies is 0.912 eV per atom. Its space group is F-43m.

Cell lengths 5.6938, 5.6938, 5.6938 Å; angles 60.00, 60.00, 60.00 degrees
Site moments in Bohr magnetons follow the coordinates.
Positions (direct):
Se  0.8758  0.3747  0.3747  0.01
Se  0.3747  0.8758  0.3747  0.01
Se  0.3747  0.3747  0.8758  0.01
Se  0.3747  0.3747  0.3747  0.01
Zn  0.7500  0.7500  0.7500  -0.07
Mo  0.0000  0.0000  0.0000  3.40

=====

(2)
First-principles (PBE-GGA) data for Zn2MoSe after structural relaxation, as listed in Alexandria.

Summary:
The value obtained for the magnetic moment is 0.000 μB per atom. Its formation energy from raw total energies is 0.250 eV per atom. Its space group is I-4m2.

Cell lengths 5.0847, 5.0847, 5.0847 Å; angles 135.43, 135.43, 64.86 degrees
Positions (direct):
Zn  0.2500  0.7500  0.5000
Zn  0.0000  0.0000  0.0000
Se  0.7500  0.2500  0.5000
Mo  0.5000  0.5000  0.0000

=====

(3)
First-principles (PBE-GGA) data for Zn2MoSe after structural relaxation, as listed in Alexandria.

Summary:
The value obtained for the magnetic moment is 0.222 μB per atom. Its formation energy from raw total energies is 0.433 eV per atom. Its space group is F-43m.

Cell lengths 4.5062, 4.5062, 4.5062 Å; angles 60.00, 60.00, 60.00 degrees
Site moments in Bohr magnetons follow the coordinates.
Positions (direct):
Se  0.7500  0.7500  0.7500  -0.02
Zn  0.0000  0.0000  0.0000  -0.01
Zn  0.2500  0.2500  0.2500  0.02
Mo  0.5000  0.5000  0.5000  0.78

=====

(4)
First-principles (PBE-GGA) data for Zn2MoSe after structural relaxation, as listed in Alexandria.

Summary:
The value obtained for the magnetic moment is 0.356 μB per atom. Its formation energy from raw total energies is 0.345 eV per atom. Its space group is P4/mmm.

Cell lengths 3.8997, 4.0889, 4.0889 Å; angles 90.00, 90.00, 90.00 degrees
Site moments in Bohr magnetons follow the coordinates.
Positions (direct):
Se  0.5000  0.0000  0.5000  0.03
Zn  0.0000  0.0000  0.0000  -0.01
Zn  0.0000  0.5000  0.5000  -0.01
Mo  0.5000  0.5000  0.0000  1.27

=====

(5)
First-principles (PBE-GGA) data for Zn2MoSe after structural relaxation, as listed in Alexandria.

Summary:
The value obtained for the magnetic moment is 0.000 μB per atom. Its formation energy from raw total energies is 0.234 eV per atom. Its space group is Cmmm.

Cell lengths 2.7810, 2.7810, 9.1384 Å; angles 90.00, 90.00, 101.81 degrees
Positions (direct):
Zn  0.0000  0.0000  0.4683
Zn  0.0000  0.0000  0.0317
Se  0.5000  0.5000  0.7500
Mo  0.5000  0.5000  0.2500

=====

(6)
First-principles (PBE-GGA) data for ZnMoSe after structural relaxation, as listed in Alexandria.

Summary:
The value obtained for the magnetic moment is 0.001 μB per atom. Its formation energy from raw total energies is 0.313 eV per atom. Its space group is Fmm2.

Cell lengths 7.2943, 7.0385, 2.9776 Å; angles 82.87, 73.23, 23.89 degrees
Positions (direct):
Se  0.3561  0.3561  0.6439
Mo  0.9957  0.9957  0.0043
Zn  0.6482  0.6482  0.3518

=====

(7)
First-principles (PBE-GGA) data for Zn2MoSe after structural relaxation, as listed in Alexandria.

Summary:
The value obtained for the magnetic moment is 0.000 μB per atom. Its formation energy from raw total energies is 0.052 eV per atom. Its space group is P4mm.

Cell lengths 3.3340, 3.3340, 5.6966 Å; angles 90.00, 90.00, 90.00 degrees
Positions (direct):
Se  0.5000  0.5000  0.7274
Mo  0.0000  0.0000  0.5076
Zn  0.0000  0.0000  0.0218
Zn  0.5000  0.5000  0.2432

=====

(8)
First-principles (PBE-GGA) data for Zr4MoSe after structural relaxation, as listed in Alexandria.

Summary:
The value obtained for the magnetic moment is 0.000 μB per atom. Its formation energy from raw total energies is 0.537 eV per atom. Its space group is F-43m.

Cell lengths 5.6573, 5.6573, 5.6573 Å; angles 60.00, 60.00, 60.00 degrees
Positions (direct):
Zr  0.3772  0.3772  0.3772
Zr  0.3772  0.3772  0.8685
Zr  0.3772  0.8685  0.3772
Zr  0.8685  0.3772  0.3772
Mo  0.7500  0.7500  0.7500
Se  0.0000  0.0000  0.0000